Material: CaReSn3
Method: DFT, PBE
State: optimized geometry

The space group is Pm-3m (No. 221) and the conventional cell measures 5.2454, 5.2454 and 5.2454 Å, with angles of 90.00, 90.00 and 90.00 degrees. Symmetry generates all atoms from Ca at (0.0000, 0.0000, 0.0000), Re at (0.5000, 0.5000, 0.5000) and Sn at (0.0000, 0.5000, 0.5000).

The crystal system is cubic. For the density of states at the Fermi level, the calculation gives 0.99 states/eV per atom. The calculation puts the size of the total moment at 0.713 μB/cell. The value obtained for the formation energy is 0.226 eV/atom. The value obtained for the uncorrected energy is -25.33 eV per cell.